# CrRh3I GGA-PBE optimized geometry
data_CrRh3I
_chemical_formula_sum 'Cr1 Rh3 I1'
_cell_length_a 4.556
_cell_length_b 4.556
_cell_length_c 4.556
_cell_angle_alpha 90.00
_cell_angle_beta 90.00
_cell_angle_gamma 90.00
_space_group_name_H-M_alt 'P m -3 m'
_space_group_IT_number 221
_space_group_name_Hall '-P 4 2 3'
loop_
_atom_site_label
_atom_site_fract_x
_atom_site_fract_y
_atom_site_fract_z
Cr1 0.000 0.000 0.000
Rh1 0.000 0.000 0.500
I1 0.500 0.500 0.500
# final energy: -5.698 eV per atom
# uncorrected formation energy: 948.0 meV per atom
# distance to the lowest polymorph of the same formula: 0.0000 eV per atom
# crystal system: cubic
# calculated density: 8562 kg/m3

=====

# Cr2RhI GGA-PBE optimized geometry
data_Cr2RhI
_chemical_formula_sum 'Cr8 Rh4 I4'
_cell_length_a 6.177
_cell_length_b 6.177
_cell_length_c 6.177
_cell_angle_alpha 90.00
_cell_angle_beta 90.00
_cell_angle_gamma 90.00
_space_group_name_H-M_alt 'F m -3 m'
_space_group_IT_number 225
_space_group_name_Hall '-F 4 2 3'
loop_
_atom_site_label
_atom_site_fract_x
_atom_site_fract_y
_atom_site_fract_z
Cr1 0.250 0.250 0.250
Rh1 0.000 0.000 0.000
I1 0.000 0.000 0.500
# final energy: -6.223 eV per atom
# uncorrected formation energy: 814.2 meV per atom
# distance to the lowest polymorph of the same formula: 0.0000 eV per atom
# crystal system: cubic
# calculated density: 9406 kg/m3

=====

# CrRhI3 GGA-PBE optimized geometry
data_CrRhI3
_chemical_formula_sum 'Cr1 Rh1 I3'
_cell_length_a 5.418
_cell_length_b 5.418
_cell_length_c 5.418
_cell_angle_alpha 90.00
_cell_angle_beta 90.00
_cell_angle_gamma 90.00
_space_group_name_H-M_alt 'P m -3 m'
_space_group_IT_number 221
_space_group_name_Hall '-P 4 2 3'
loop_
_atom_site_label
_atom_site_fract_x
_atom_site_fract_y
_atom_site_fract_z
Cr1 0.000 0.000 0.000
Rh1 0.500 0.500 0.500
I1 0.000 0.500 0.500
# final energy: -3.878 eV per atom
# uncorrected formation energy: 446.6 meV per atom
# distance to the lowest polymorph of the same formula: 0.0000 eV per atom
# crystal system: cubic
# calculated density: 5591 kg/m3

=====

# CrTeRhI2 GGA-PBE optimized geometry
data_CrTeRhI2
_chemical_formula_sum 'Cr1 Te1 Rh1 I2'
_cell_length_a 5.515
_cell_length_b 5.515
_cell_length_c 5.123
_cell_angle_alpha 90.00
_cell_angle_beta 90.00
_cell_angle_gamma 90.00
_space_group_name_H-M_alt 'P 4/m m m'
_space_group_IT_number 123
_space_group_name_Hall '-P 4 2'
loop_
_atom_site_label
_atom_site_fract_x
_atom_site_fract_y
_atom_site_fract_z
Cr1 0.000 0.000 0.000
Te1 0.500 0.500 0.000
Rh1 0.500 0.500 0.500
I1 0.000 0.500 0.500
# final energy: -4.123 eV per atom
# uncorrected formation energy: 520.5 meV per atom
# distance to the lowest polymorph of the same formula: 0.0000 eV per atom
# crystal system: tetragonal
# calculated density: 5715 kg/m3

=====

# Y2CrRhI GGA-PBE optimized geometry
data_Y2CrRhI
_chemical_formula_sum 'Y2 Cr1 Rh1 I1'
_cell_length_a 5.560
_cell_length_b 5.560
_cell_length_c 4.730
_cell_angle_alpha 90.00
_cell_angle_beta 90.00
_cell_angle_gamma 90.00
_space_group_name_H-M_alt 'P 4/m m m'
_space_group_IT_number 123
_space_group_name_Hall '-P 4 2'
loop_
_atom_site_label
_atom_site_fract_x
_atom_site_fract_y
_atom_site_fract_z
Y1 0.000 0.500 0.000
Cr1 0.000 0.000 0.500
Rh1 0.500 0.500 0.500
I1 0.000 0.000 0.000
# final energy: -5.423 eV per atom
# uncorrected formation energy: 868.1 meV per atom
# crystal system: tetragonal
# calculated density: 5218 kg/m3

=====

# CrRuI GGA-PBE optimized geometry
data_CrRuI
_chemical_formula_sum 'Cr2 Ru2 I2'
_cell_length_a 3.6917
_cell_length_b 3.6917
_cell_length_c 10.7983
_cell_angle_alpha 90.00
_cell_angle_beta 90.00
_cell_angle_gamma 120.00
_space_group_name_H-M_alt 'P -6 m 2'
_space_group_IT_number 187
_space_group_name_Hall 'P -6 2'
loop_
_atom_site_label
_atom_site_fract_x
_atom_site_fract_y
_atom_site_fract_z
Cr1 0.0000 0.0000 0.0000
Cr2 0.0000 0.0000 0.5000
Ru1 0.3333 0.6667 0.1162
I1 0.6667 0.3333 0.3129
# final energy: -6.164 eV per atom
# uncorrected formation energy: 652.1 meV per atom
# crystal system: hexagonal
# calculated density: 7295 kg/m3

=====

# Cr2RuI GGA-PBE optimized geometry
data_Cr2RuI
_chemical_formula_sum 'Cr8 Ru4 I4'
_cell_length_a 6.553
_cell_length_b 6.553
_cell_length_c 8.789
_cell_angle_alpha 90.00
_cell_angle_beta 90.00
_cell_angle_gamma 90.00
_space_group_name_H-M_alt 'I -4 2 d'
_space_group_IT_number 122
_space_group_name_Hall 'I -4 2bw'
loop_
_atom_site_label
_atom_site_fract_x
_atom_site_fract_y
_atom_site_fract_z
Cr1 0.198 0.750 0.125
Ru1 0.000 0.000 0.000
I1 0.000 0.000 0.500
# final energy: -6.512 eV per atom
# uncorrected formation energy: 1006.3 meV per atom
# distance to the lowest polymorph of the same formula: 0.0426 eV per atom
# crystal system: tetragonal
# calculated density: 5842 kg/m3

=====

# CrRu3I GGA-PBE optimized geometry
data_CrRu3I
_chemical_formula_sum 'Cr1 Ru3 I1'
_cell_length_a 4.530
_cell_length_b 4.530
_cell_length_c 4.530
_cell_angle_alpha 90.00
_cell_angle_beta 90.00
_cell_angle_gamma 90.00
_space_group_name_H-M_alt 'P m -3 m'
_space_group_IT_number 221
_space_group_name_Hall '-P 4 2 3'
loop_
_atom_site_label
_atom_site_fract_x
_atom_site_fract_y
_atom_site_fract_z
Cr1 0.000 0.000 0.000
Ru1 0.000 0.000 0.500
I1 0.500 0.500 0.500
# final energy: -6.386 eV per atom
# uncorrected formation energy: 1414.0 meV per atom
# distance to the lowest polymorph of the same formula: 0.0000 eV per atom
# crystal system: cubic
# calculated density: 8614 kg/m3

=====

Results for D(E_F): 7.65; 4.07; 5.19; 5.52; 6.33; 2.37; 4.61; 7.48 (in states/eV/f.u., following the order of the records).